# 1
GdDyAu PBE optimized geometry; symmetry = F-43m; total DFT energy (no corrections) = -12.157 eV/cell; total moment = 0.0 μB per formula unit; energy above the most stable polymorph in this dataset = 627 meV/atom
1.0
0.0000 3.4370 3.4370
3.4370 0.0000 3.4370
3.4370 3.4370 0.0000
Au Dy Gd
1 1 1
Direct
0.2500 0.2500 0.2500 Au
0.0000 0.0000 0.0000 Dy
0.7500 0.7500 0.7500 Gd

# 2
GdDyAu PBE optimized geometry; symmetry = P6_3mc; total DFT energy (no corrections) = -28.076 eV/cell; total moment = 0.0 μB per formula unit; energy above the most stable polymorph in this dataset = 0 meV/atom
1.0
5.0738 0.0000 0.0000
-2.5369 4.3940 0.0000
0.0000 0.0000 6.8942
Gd Au Dy
2 2 2
Direct
0.6667 0.3333 0.0171 Gd
0.3333 0.6667 0.5171 Gd
0.6667 0.3333 0.5087 Au
0.3333 0.6667 0.0087 Au
0.0000 0.0000 0.7666 Dy
0.0000 0.0000 0.2666 Dy

# 3
GdDyAu4 PBE optimized geometry; symmetry = P4/mmm; total DFT energy (no corrections) = -27.476 eV/cell; total moment = 0.0 μB per formula unit
1.0
-0.7549 2.7310 2.4426
-2.7533 1.2226 -2.2179
-5.8599 -5.4428 4.2742
Gd Au Dy
1 4 1
Direct
0.0000 0.0000 0.0000 Gd
0.5000 0.5000 0.8343 Au
0.5000 0.5000 0.1657 Au
0.0000 0.0000 0.3348 Au
0.0000 0.0000 0.6652 Au
0.5000 0.5000 0.5000 Dy

# 4
Gd2DyGe4Au4 PBE optimized geometry; symmetry = Immm; total DFT energy (no corrections) = -52.964 eV/cell; total moment = 0.0 μB per formula unit
1.0
-2.1931 3.5383 7.3244
2.1931 -3.5383 7.3244
2.1931 3.5383 -7.3244
Gd Au Ge Dy
2 4 4 1
Direct
0.6263 0.1263 0.5000 Gd
0.3737 0.8737 0.5000 Gd
0.9656 0.6671 0.2986 Au
0.3685 0.6671 0.7014 Au
0.0344 0.3329 0.7014 Au
0.6315 0.3329 0.2986 Au
0.6852 0.5000 0.1852 Ge
0.3148 0.5000 0.8148 Ge
0.7839 0.7839 0.0000 Ge
0.2161 0.2161 0.0000 Ge
0.0000 0.0000 0.0000 Dy

# 5
GdDyGe2Au2 PBE optimized geometry; symmetry = P3m1; total DFT energy (no corrections) = -30.071 eV/cell; total moment = 0.0 μB per formula unit
1.0
-3.1950 -3.1361 -0.3211
3.8258 -0.4498 -2.3037
2.9822 -3.6177 5.6590
Au Ge Gd Dy
2 2 1 1
Direct
0.3333 0.6667 0.7942 Au
0.6667 0.3333 0.2850 Au
0.6667 0.3333 0.7115 Ge
0.3333 0.6667 0.2082 Ge
0.0000 0.0000 0.5016 Gd
0.0000 0.0000 0.0011 Dy

# 6
GdDyHg2Au4 PBE optimized geometry; symmetry = P4/mmm; total DFT energy (no corrections) = -27.723 eV/cell; total moment = 0.0 μB per formula unit
1.0
4.9374 0.0000 0.0000
0.0000 4.9374 0.0000
0.0000 0.0000 6.9816
Au Hg Gd Dy
4 2 1 1
Direct
0.5000 0.0000 0.2492 Au
0.0000 0.5000 0.2492 Au
0.0000 0.5000 0.7508 Au
0.5000 0.0000 0.7508 Au
0.0000 0.0000 0.5000 Hg
0.5000 0.5000 0.0000 Hg
0.5000 0.5000 0.5000 Gd
0.0000 0.0000 0.0000 Dy

# 7
GdDy2In3IrAu2 PBE optimized geometry; symmetry = Amm2; total DFT energy (no corrections) = -44.098 eV/cell; total moment = 0.0 μB per formula unit
1.0
3.9604 0.0000 0.0000
0.0000 6.6883 3.8563
0.0000 -6.6883 3.8563
In Ir Gd Dy Au
3 1 1 2 2
Direct
0.5000 0.9995 0.2543 In
0.5000 0.7453 0.7453 In
0.5000 0.2543 0.9995 In
0.0000 0.9988 0.9988 Ir
0.0000 0.3977 0.3977 Gd
0.0000 0.9999 0.6035 Dy
0.0000 0.6035 0.9999 Dy
0.5000 0.6683 0.3327 Au
0.5000 0.3327 0.6683 Au

# 8
GdDy2In3Ni2Au PBE optimized geometry; symmetry = Amm2; total DFT energy (no corrections) = -41.465 eV/cell; total moment = 0.0 μB per formula unit
1.0
-3.7055 1.0502 0.8041
-2.0416 -7.2640 0.0790
2.3246 3.3345 6.3574
Gd Ni In Dy Au
1 2 3 2 1
Direct
0.0000 0.5912 0.5912 Gd
0.5000 0.6672 0.3326 Ni
0.5000 0.3326 0.6672 Ni
0.5000 0.0008 0.7271 In
0.5000 0.7271 0.0008 In
0.5000 0.2723 0.2723 In
0.0000 0.9995 0.4084 Dy
0.0000 0.4084 0.9995 Dy
0.0000 0.0010 0.0010 Au

# 9
Gd2DyIn3Pd2Au PBE optimized geometry; symmetry = Amm2; total DFT energy (no corrections) = -42.762 eV/cell; total moment = 0.0 μB per formula unit
1.0
3.8837 0.0000 0.0000
0.0000 6.7405 3.8990
0.0000 -6.7405 3.8990
In Au Gd Dy Pd
3 1 2 1 2
Direct
0.5000 0.2685 0.2685 In
0.5000 0.7321 0.9991 In
0.5000 0.9991 0.7321 In
0.0000 0.9992 0.9992 Au
0.0000 0.4063 0.0000 Gd
0.0000 0.0000 0.4063 Gd
0.0000 0.5939 0.5939 Dy
0.5000 0.3348 0.6661 Pd
0.5000 0.6661 0.3348 Pd

# 10
GdDy2In3PdAu2 PBE optimized geometry; symmetry = Amm2; total DFT energy (no corrections) = -40.928 eV/cell; total moment = 0.0 μB per formula unit
1.0
-2.8232 1.4092 2.3404
0.6620 -6.2547 4.5645
4.3104 6.3135 1.3982
Pd In Dy Gd Au
1 3 2 1 2
Direct
0.0000 0.9990 0.9990 Pd
0.5000 0.9995 0.2545 In
0.5000 0.2545 0.9995 In
0.5000 0.7454 0.7454 In
0.0000 0.5947 0.0001 Dy
0.0000 0.0001 0.5947 Dy
0.0000 0.4059 0.4059 Gd
0.5000 0.3327 0.6682 Au
0.5000 0.6682 0.3327 Au

# 11
Gd2DyIn3Pt2Au PBE optimized geometry; symmetry = Amm2; total DFT energy (no corrections) = -45.721 eV/cell; total moment = 0.0 μB per formula unit
1.0
3.8442 0.0000 0.0000
0.0000 6.7441 3.9013
0.0000 -6.7441 3.9013
In Dy Pt Au Gd
3 1 2 1 2
Direct
0.5000 0.2683 0.2683 In
0.5000 0.9995 0.7319 In
0.5000 0.7319 0.9995 In
0.0000 0.5916 0.5916 Dy
0.5000 0.6661 0.3349 Pt
0.5000 0.3349 0.6661 Pt
0.0000 0.9994 0.9994 Au
0.0000 0.0000 0.4083 Gd
0.0000 0.4083 0.0000 Gd

# 12
Gd2DyIn3PtAu2 PBE optimized geometry; symmetry = Amm2; total DFT energy (no corrections) = -42.243 eV/cell; total moment = 0.0 μB per formula unit
1.0
-2.5467 3.0366 0.0461
-5.4943 -4.6514 2.8636
4.6926 3.8626 4.8045
Au Dy Gd In Pt
2 1 2 3 1
Direct
0.5000 0.6664 0.3334 Au
0.5000 0.3334 0.6664 Au
0.0000 0.4010 0.4010 Dy
0.0000 0.0000 0.5989 Gd
0.0000 0.5989 0.0000 Gd
0.5000 0.2565 0.0002 In
0.5000 0.0002 0.2565 In
0.5000 0.7434 0.7434 In
0.0000 0.0002 0.0002 Pt